# 1
Here is an optimized crystal structure of Zr5Os4Ru from the Alexandria database. Energies are from PBE.

The structure in POSCAR format:
```
Zr5Os4Ru
1.0
3.281 0.000 0.000
0.000 3.281 0.000
0.000 0.000 16.429
Zr Os Ru
5 4 1
Direct
0.500 0.500 0.100
0.500 0.500 0.900
0.500 0.500 0.500
0.500 0.500 0.700
0.500 0.500 0.300
0.000 0.000 0.801
0.000 0.000 0.600
0.000 0.000 0.400
0.000 0.000 0.199
0.000 0.000 0.000
```

Computed properties:
- ΔH_f (0 K): -53 kJ/mol of atoms
- Density of states at the Fermi level: 2.87 states/eV per cell
- Space group: No. 123
- Calculated total energy: -102.4 eV per formula unit
- Calculated volume: 176.9 Å³/cell

# 2
Here is an optimized crystal structure of ZrOsRu2 from the Alexandria database. Energies are from PBE.

The structure in POSCAR format:
```
ZrOsRu2
1.0
4.851 0.008 -0.018
3.998 2.747 -0.018
0.894 0.278 4.791
Zr Ru Os
1 2 1
Direct
0.250 0.250 0.250
0.010 0.010 0.969
0.490 0.490 0.531
0.750 0.750 0.750
```

Computed properties:
- ΔH_f (0 K): -3 kJ/mol of atoms
- Density of states at the Fermi level: 4.07 states/eV per cell
- Space group: No. 12
- Calculated total energy: -38.5 eV per formula unit
- Calculated volume: 63.7 Å³/cell